Record 1
First-principles (PBE) data for crystalline BaCaCd2Ni at its relaxed geometry, as listed in Alexandria.

Computed properties:
As for the space-group type: P4/mmm, No. 123.

Lattice parameters (Å, degrees): 5.276 5.276 5.146 90.00 90.00 90.00
Element x y z (fractional)
Ca 0.000 0.000 0.500
Cd 0.000 0.500 0.000
Cd 0.500 0.000 0.000
Ba 0.500 0.500 0.500
Ni 0.000 0.000 0.000

=====

Record 2
First-principles (PBE) data for crystalline BaCa2CdNi at its relaxed geometry, as listed in Alexandria.

Computed properties:
As for the space-group type: P4/mmm, No. 123.

Lattice parameters (Å, degrees): 5.482 5.482 5.926 90.00 90.00 90.00
Element x y z (fractional)
Cd 0.500 0.500 0.500
Ni 0.000 0.000 0.000
Ca 0.000 0.500 0.000
Ca 0.500 0.000 0.000
Ba 0.000 0.000 0.500

=====

Number 1: calculated total energy -0.1806 Ry per atom, energy of formation -0.150 eV/atom. Number 2: calculated total energy -0.1901 Ry per atom, energy of formation -0.062 eV/atom.